# 1
# Ac2Sn2Hg3 (PBE, relaxed)
data_Ac2Sn2Hg3
_chemical_formula_sum 'Ac4 Sn4 Hg6'
_cell_length_a 4.408
_cell_length_b 22.574
_cell_length_c 4.541
_cell_angle_alpha 90.00
_cell_angle_beta 90.00
_cell_angle_gamma 90.00
_symmetry_space_group_name_H-M 'C m m m'
_symmetry_Int_Tables_number 65
_symmetry_space_group_name_Hall '-C 2 2'
loop_
_atom_site_label
_atom_site_type_symbol
_atom_site_fract_x
_atom_site_fract_y
_atom_site_fract_z
Ac1 Ac 0.000 0.156 0.000
Sn1 Sn 0.000 0.292 0.500
Hg1 Hg 0.000 0.000 0.000
Hg2 Hg 0.000 0.434 0.500
# Energy of formation from the pure elements: -0.40 eV per atom
# Energy above the lowest structure with this stoichiometry: 64 meV/atom


# 2
# SrMgZn2In (PBE, relaxed)
data_SrMgZn2In
_chemical_formula_sum 'Sr2 Mg2 Zn4 In2'
_cell_length_a 4.363
_cell_length_b 4.556
_cell_length_c 12.292
_cell_angle_alpha 90.00
_cell_angle_beta 90.00
_cell_angle_gamma 90.00
_symmetry_space_group_name_H-M 'I m m 2'
_symmetry_Int_Tables_number 44
_symmetry_space_group_name_Hall 'I 2 -2'
loop_
_atom_site_label
_atom_site_type_symbol
_atom_site_fract_x
_atom_site_fract_y
_atom_site_fract_z
Sr1 Sr 0.000 0.000 0.000
Mg1 Mg 0.000 0.500 0.764
Zn1 Zn 0.000 0.000 0.395
Zn2 Zn 0.000 0.500 0.274
In1 In 0.000 0.000 0.620
# Energy of formation from the pure elements: -0.23 eV per atom


# 3
# PrMgAlHg (PBE, relaxed)
data_PrMgAlHg
_chemical_formula_sum 'Pr4 Mg4 Al4 Hg4'
_cell_length_a 7.295
_cell_length_b 7.295
_cell_length_c 7.295
_cell_angle_alpha 90.00
_cell_angle_beta 90.00
_cell_angle_gamma 90.00
_symmetry_space_group_name_H-M 'F -4 3 m'
_symmetry_Int_Tables_number 216
_symmetry_space_group_name_Hall 'F -4 2 3'
loop_
_atom_site_label
_atom_site_type_symbol
_atom_site_fract_x
_atom_site_fract_y
_atom_site_fract_z
Pr1 Pr 0.000 0.000 0.000
Mg1 Mg 0.000 0.000 0.500
Al1 Al 0.250 0.250 0.250
Hg1 Hg 0.250 0.250 0.750
# Energy of formation from the pure elements: -0.31 eV per atom


# 4
# SiAu (PBE, relaxed)
data_SiAu
_chemical_formula_sum 'Si4 Au4'
_cell_length_a 3.638
_cell_length_b 4.699
_cell_length_c 7.890
_cell_angle_alpha 90.00
_cell_angle_beta 90.00
_cell_angle_gamma 90.00
_symmetry_space_group_name_H-M 'C m m e'
_symmetry_Int_Tables_number 67
_symmetry_space_group_name_Hall '-C 2a 2'
loop_
_atom_site_label
_atom_site_type_symbol
_atom_site_fract_x
_atom_site_fract_y
_atom_site_fract_z
Si1 Si 0.000 0.250 0.114
Au1 Au 0.000 0.250 0.646
# Formation energy without anion corrections: 0.27 eV/atom


# 5
# Nb2Se5Br (PBE, relaxed)
data_Nb2Se5Br
_chemical_formula_sum 'Nb4 Se10 Br2'
_cell_length_a 4.327
_cell_length_b 6.545
_cell_length_c 13.547
_cell_angle_alpha 90.00
_cell_angle_beta 90.00
_cell_angle_gamma 90.00
_symmetry_space_group_name_H-M 'I m m m'
_symmetry_Int_Tables_number 71
_symmetry_space_group_name_Hall '-I 2 2'
loop_
_atom_site_label
_atom_site_type_symbol
_atom_site_fract_x
_atom_site_fract_y
_atom_site_fract_z
Nb1 Nb 0.000 0.000 0.194
Se1 Se 0.000 0.000 0.000
Se2 Se 0.000 0.257 0.338
Br1 Br 0.000 0.500 0.000
# Formation energy without anion corrections: -0.37 eV/atom


# 6
# LaTb2DyEr (PBE, relaxed)
data_LaTb2DyEr
_chemical_formula_sum 'La1 Tb2 Dy1 Er1'
_cell_length_a 3.618
_cell_length_b 5.591
_cell_length_c 8.593
_cell_angle_alpha 90.00
_cell_angle_beta 90.00
_cell_angle_gamma 90.00
_symmetry_space_group_name_H-M 'P m m m'
_symmetry_Int_Tables_number 47
_symmetry_space_group_name_Hall '-P 2 2'
loop_
_atom_site_label
_atom_site_type_symbol
_atom_site_fract_x
_atom_site_fract_y
_atom_site_fract_z
La1 La 0.000 0.000 0.000
Tb1 Tb 0.000 0.500 0.321
Dy1 Dy 0.500 0.500 0.000
Er1 Er 0.500 0.000 0.500
# Energy of formation from the pure elements: 0.27 eV per atom


Number 6 is which compound? LaTb2DyEr